Entry 1:
Density functional theory data (PBE-GGA) for a geometry-optimized ErThHgPd structure.

Computed properties:
formation energy = -0.49 eV/atom
DOS at the Fermi energy = 17.57 states/eV per cell

Cell lengths 7.3460, 7.3460, 7.3460 Å; angles 90.00, 90.00, 90.00 degrees
Space group F-43m (No. 216)
Inequivalent atoms, fractional coordinates:
Er1 0.0000 0.0000 0.0000 (multiplicity 4)
Th1 0.0000 0.0000 0.5000 (multiplicity 4)
Hg1 0.2500 0.2500 0.7500 (multiplicity 4)
Pd1 0.2500 0.2500 0.2500 (multiplicity 4)



Entry 2:
Density functional theory data (PBE-GGA) for a geometry-optimized La3YBi4 structure.

Computed properties:
formation energy = -1.01 eV/atom
DOS at the Fermi energy = 1.94 states/eV per cell

Cell lengths 9.2965, 13.1523, 4.6581 Å; angles 90.00, 90.00, 90.00 degrees
Space group Cmmm (No. 65)
Inequivalent atoms, fractional coordinates:
La1 0.0000 0.0000 0.0000 (multiplicity 2)
La2 0.2500 0.2500 0.5000 (multiplicity 4)
Y1 0.0000 0.5000 0.0000 (multiplicity 2)
Bi1 0.0000 0.2540 0.0000 (multiplicity 4)
Bi2 0.2422 0.5000 0.5000 (multiplicity 4)